No. 1
This record from the Alexandria database describes a geometry-optimized TbCe3Th2S6 structure. The functional is PBE-GGA.

The structure belongs to space group C2/m (No. 12); the cell edges are 6.970, 12.055 and 6.920 Å and the angles 90.00°, 109.55° and 90.00°. Symmetry generates all atoms from Tb at (0.000, 0.000, 0.000), Ce at (0.000, 0.168, 0.500), Ce at (0.000, 0.500, 0.500), Th at (0.000, 0.334, 0.000), S at (0.244, 0.000, 0.750) and S at (0.246, 0.164, 0.248).

The total energy comes out at -171.46 eV for the cell shown. Its density of states at the Fermi level is 16.3 states/eV/f.u.

***

No. 2
This record from the Alexandria database describes a geometry-optimized Tb2Ce3ThS6 structure. The functional is PBE-GGA.

The structure belongs to space group C2/m (No. 12); the cell edges are 6.923, 11.991 and 6.918 Å and the angles 90.00°, 109.49° and 90.00°. Symmetry generates all atoms from Tb at (0.000, 0.167, 0.000), Ce at (0.000, 0.000, 0.500), Ce at (0.000, 0.335, 0.500), Th at (0.000, 0.500, 0.000), S at (0.241, 0.000, 0.242) and S at (0.249, 0.170, 0.755).

The total energy comes out at -166.54 eV for the cell shown. Its density of states at the Fermi level is 16.5 states/eV/f.u.

***

Among the records above, which one has the lowest total energy? TbCe3Th2S6